Below is a relaxed structure of Pa6Co5Os, with properties calculated at the PBE level.

For the density of states at the Fermi level, the calculation gives 16.8 states/eV per cell. Its total magnetization is 0.00 Bohr magnetons per cell. As for the crystal system: monoclinic. The value obtained for the raw total energy is -8.95 eV/atom.

It has space group C2/m (No. 12), with a = 6.651 Å, b = 11.216 Å, c = 6.680 Å, α = 90.00°, β = 107.66° and γ = 90.00°. The distinct sites, in fractional coordinates, are Pa at (0.241, 0.000, 0.253), Pa at (0.245, 0.171, 0.747), Co at (0.000, 0.000, 0.500), Co at (0.000, 0.166, 0.000), Co at (0.000, 0.335, 0.500) and Os at (0.000, 0.500, 0.000).